No. 1
Density functional theory data (PBE) for an optimized crystal structure of Cs2YMn3Cl12.

Summary:
- Final energy: -4.75 eV per atom

a b c (Å): 9.502 9.502 9.502
angles (deg): 57.19 57.19 57.19
Site moments in Bohr magnetons follow the coordinates.
Sites, in units of the cell vectors:
1 Cl 0.313 0.313 0.920  0.03
2 Mn 0.500 0.000 0.000  4.19
3 Cl 0.687 0.080 0.687  0.03
4 Y 0.000 0.000 0.000  0.03
5 Mn 0.000 0.500 0.000  4.19
6 Cl 0.915 0.915 0.346  0.04
7 Cs 0.613 0.613 0.613  0.00
8 Cs 0.387 0.387 0.387  0.00
9 Cl 0.085 0.654 0.085  0.04
10 Cl 0.920 0.313 0.313  0.03
11 Cl 0.080 0.687 0.687  0.03
12 Cl 0.915 0.346 0.915  0.04
13 Cl 0.687 0.687 0.080  0.03
14 Cl 0.346 0.915 0.915  0.04
15 Mn 0.000 0.000 0.500  4.19
16 Cl 0.085 0.085 0.654  0.04
17 Cl 0.313 0.920 0.313  0.03
18 Cl 0.654 0.085 0.085  0.04



No. 2
Density functional theory data (PBE) for an optimized crystal structure of CsYMn2Cl8.

Summary:
- Final energy: -4.98 eV per atom

a b c (Å): 6.487 6.487 11.491
angles (deg): 73.61 73.61 60.00
Site moments in Bohr magnetons follow the coordinates.
Sites, in units of the cell vectors:
1 Cl 0.561 0.232 0.342  0.04
2 Cl 0.439 0.134 0.658  0.04
3 Mn 0.757 0.757 0.730  4.33
4 Cl 0.232 0.866 0.342  0.04
5 Cl 0.687 0.687 0.939  0.07
6 Cl 0.768 0.439 0.658  0.04
7 Mn 0.243 0.243 0.270  4.33
8 Cl 0.866 0.561 0.342  0.04
9 Cs 0.000 0.000 0.000  0.00
10 Y 0.500 0.500 0.500  0.06
11 Cl 0.134 0.768 0.658  0.04
12 Cl 0.313 0.313 0.061  0.07



No. 3
Density functional theory data (PBE) for an optimized crystal structure of CsYMnCl6.

Summary:
- Final energy: -4.93 eV per atom

a b c (Å): 6.843 6.843 7.780
angles (deg): 90.00 90.00 60.00
Site moments in Bohr magnetons follow the coordinates.
Sites, in units of the cell vectors:
1 Cs 0.000 0.000 0.000  0.00
2 Cl 0.386 0.625 0.308  0.03
3 Cl 0.989 0.386 0.308  0.03
4 Cl 0.625 0.386 0.692  0.03
5 Y 0.333 0.333 0.500  0.01
6 Cl 0.625 0.989 0.308  0.03
7 Mn 0.667 0.667 0.500  4.44
8 Cl 0.386 0.989 0.692  0.03
9 Cl 0.989 0.625 0.692  0.03



No. 4
Density functional theory data (PBE) for an optimized crystal structure of Cs2YMnCl6.

Summary:
- Final energy: -4.59 eV per atom

a b c (Å): 7.455 7.455 7.456
angles (deg): 60.01 60.01 90.00
Site moments in Bohr magnetons follow the coordinates.
Sites, in units of the cell vectors:
1 Cs 0.250 0.750 0.500  0.00
2 Cl 0.746 0.746 0.000  0.02
3 Cl 0.254 0.254 0.000  0.02
4 Y 0.000 0.000 0.000  -0.19
5 Mn 0.500 0.500 0.000  3.98
6 Cl 0.746 0.254 0.000  0.02
7 Cs 0.750 0.250 0.500  0.00
8 Cl 0.746 0.746 0.509  0.02
9 Cl 0.254 0.254 0.491  0.02
10 Cl 0.254 0.746 0.000  0.02



The following formation energy (no corrections) values (in eV/atom) correspond, in order, to the records above: -1.53; -1.61; -1.86; -1.75.